A plane-wave DFT calculation with PBE-GGA was carried out for an optimized crystal structure of Cu2MoPt.

Computed properties:
Energy of formation ... 0.22 eV/atom

abc: 4.4816 4.4816 2.7712
angles: 90.00 90.00 90.00
Fractional positions:
Cu  0.0000  0.0000  0.0000
Cu  0.5000  0.5000  0.0000
Mo  0.5000  0.0000  0.5000
Pt  0.0000  0.5000  0.5000

A plane-wave DFT calculation with PBE-GGA was carried out for an optimized crystal structure of La2NdGeN.

Computed properties:
Raw formation energy ... -0.760 eV/atom

abc: 3.9230 8.7149 7.7012
angles: 90.00 90.00 103.01
Fractional positions:
Ge  0.3105  0.6211  0.2500
Ge  0.6895  0.3789  0.7500
La  0.1439  0.2878  0.4715
La  0.1439  0.2878  0.0285
La  0.8561  0.7122  0.5285
La  0.8561  0.7122  0.9715
Nd  0.4902  0.9803  0.2500
Nd  0.5098  0.0197  0.7500
N  0.0000  0.0000  0.5000
N  0.0000  0.0000  0.0000

A plane-wave DFT calculation with PBE-GGA was carried out for an optimized crystal structure of Sr2TcSe.

Computed properties:
Raw formation energy ... -0.084 eV/atom

abc: 4.2155 4.2155 8.5565
angles: 75.70 75.70 60.02
Fractional positions:
Se  0.7500  0.7500  0.7500
Sr  0.4939  0.4939  0.5192
Sr  0.0061  0.0061  0.9808
Tc  0.2500  0.2500  0.2500

no.,size of the total moment (Bohr magnetons per cell)
1,0.00
2,0.00
3,3.06